P2PtW | PBE | optimized geometry

Output
energy relative to the elements: 7.8 kJ/mol of atoms
spin magnetization: 0.00 μB/atom
raw total energy: -7.37 eV per atom
crystal system: tetragonal
polymorph energy (0 for the lowest one): 339 meV per atom
space group: No. 99

Lattice parameters (Å, degrees): 3.0954 3.0954 7.0710 90.00 90.00 90.00
Fractional positions:
P1 0.0000 0.0000 0.0000
P2 0.5000 0.5000 0.3945
Pt1 0.0000 0.0000 0.5536
W1 0.5000 0.5000 0.8356

P2PtW | PBE | optimized geometry

Output
energy relative to the elements: -1.9 kJ/mol of atoms
spin magnetization: 0.00 μB/atom
raw total energy: -7.47 eV per atom
crystal system: tetragonal
polymorph energy (0 for the lowest one): 239 meV per atom
space group: No. 123

Lattice parameters (Å, degrees): 4.2138 4.2138 3.1593 90.00 90.00 90.00
Fractional positions:
P1 0.0000 0.5000 0.0000
P2 0.5000 0.0000 0.0000
Pt1 0.0000 0.0000 0.5000
W1 0.5000 0.5000 0.5000

PPtW2 | PBE | optimized geometry

Output
energy relative to the elements: 25.0 kJ/mol of atoms
spin magnetization: 0.00 μB/atom
raw total energy: -9.08 eV per atom
crystal system: orthorhombic
space group: No. 47

Lattice parameters (Å, degrees): 2.9504 3.9319 5.2404 90.00 90.00 90.00
Fractional positions:
P1 0.0000 0.0000 0.0000
Pt1 0.0000 0.0000 0.5000
W1 0.5000 0.5000 0.2354
W2 0.5000 0.5000 0.7646

PPtW2 | PBE | optimized geometry

Output
energy relative to the elements: 13.8 kJ/mol of atoms
spin magnetization: 0.00 μB/atom
raw total energy: -9.20 eV per atom
crystal system: orthorhombic
space group: No. 25

Lattice parameters (Å, degrees): 2.8435 3.9530 5.4840 90.00 90.00 90.00
Fractional positions:
P1 0.0000 0.0000 0.0000
Pt1 0.5000 0.5000 0.3099
W1 0.0000 0.0000 0.4982
W2 0.5000 0.5000 0.8297

PPtW2 | PBE | optimized geometry

Output
energy relative to the elements: 27.1 kJ/mol of atoms
spin magnetization: 0.00 μB/atom
raw total energy: -9.06 eV per atom
crystal system: tetragonal
space group: No. 119

Lattice parameters (Å, degrees): 4.8957 4.8957 4.8957 133.50 133.50 67.87
Fractional positions:
P1 0.0000 0.0000 0.0000
Pt1 0.2500 0.7500 0.5000
W1 0.5000 0.5000 0.0000
W2 0.7500 0.2500 0.5000

PPtW | PBE | optimized geometry

Output
energy relative to the elements: 14.7 kJ/mol of atoms
spin magnetization: 0.00 μB/atom
raw total energy: -7.98 eV per atom
crystal system: cubic
polymorph energy (0 for the lowest one): 262 meV per atom
space group: No. 216

Lattice parameters (Å, degrees): 4.2146 4.2146 4.2146 60.00 60.00 60.00
Fractional positions:
P1 0.0000 0.0000 0.0000
Pt1 0.5000 0.5000 0.5000
W1 0.7500 0.7500 0.7500

P2PtW | PBE | optimized geometry

Output
energy relative to the elements: 29.2 kJ/mol of atoms
spin magnetization: 0.00 μB/atom
raw total energy: -7.15 eV per atom
crystal system: orthorhombic
polymorph energy (0 for the lowest one): 561 meV per atom
space group: No. 47

Lattice parameters (Å, degrees): 3.1346 3.8573 5.0010 90.00 90.00 90.00
Fractional positions:
P1 0.0000 0.0000 0.0000
P2 0.5000 0.0000 0.5000
Pt1 0.0000 0.5000 0.5000
W1 0.5000 0.5000 0.0000

PPtW2 | PBE | optimized geometry

Output
energy relative to the elements: 48.3 kJ/mol of atoms
spin magnetization: 0.00 μB/atom
raw total energy: -8.84 eV per atom
crystal system: cubic
space group: No. 216

Lattice parameters (Å, degrees): 4.4506 4.4506 4.4506 60.00 60.00 60.00
Fractional positions:
P1 0.0000 0.0000 0.0000
Pt1 0.2500 0.2500 0.2500
W1 0.5000 0.5000 0.5000
W2 0.7500 0.7500 0.7500

- Among the records above, which one has the highest raw total energy?
  number 7

- Which of these has the lowest raw total energy?
  number 4

- Which of these has the lowest energy relative to the elements?
  number 2